# NaY2BeS SCAN single point on PBEsol structure
# * crystal system: tetragonal
# * VASP energy: -14.022 eV per atom
# * symmetry: No. 123
data_NaY2BeS
_symmetry_space_group_name_H-M 'P 1'
_symmetry_Int_Tables_number 1
_cell_length_a 5.473
_cell_length_b 5.473
_cell_length_c 3.977
_cell_angle_alpha 90.00
_cell_angle_beta 90.00
_cell_angle_gamma 90.00
loop_
_symmetry_equiv_pos_as_xyz
'x,y,z'
loop_
_atom_site_label
_atom_site_fract_x
_atom_site_fract_y
_atom_site_fract_z
Na1 0.000 0.000 0.000
Y1 0.000 0.500 0.000
Y2 0.500 0.000 0.000
Be1 0.000 0.000 0.500
S1 0.500 0.500 0.500

# SiTc2Ir SCAN single point on PBEsol structure
# * crystal system: orthorhombic
# * VASP energy: -38.022 eV per atom
# * symmetry: No. 25
data_SiTc2Ir
_symmetry_space_group_name_H-M 'P 1'
_symmetry_Int_Tables_number 1
_cell_length_a 2.764
_cell_length_b 3.726
_cell_length_c 5.316
_cell_angle_alpha 90.00
_cell_angle_beta 90.00
_cell_angle_gamma 90.00
loop_
_symmetry_equiv_pos_as_xyz
'x,y,z'
loop_
_atom_site_label
_atom_site_fract_x
_atom_site_fract_y
_atom_site_fract_z
Si1 0.000 0.000 0.000
Tc1 0.000 0.000 0.485
Tc2 0.500 0.500 0.278
Ir1 0.500 0.500 0.791

# CaTaIr3 SCAN single point on PBEsol structure
# * crystal system: cubic
# * VASP energy: -55.513 eV per atom
# * formation enthalpy at 0 K: 2396 meV/atom
# * symmetry: No. 221
data_CaTaIr3
_symmetry_space_group_name_H-M 'P 1'
_symmetry_Int_Tables_number 1
_cell_length_a 4.559
_cell_length_b 4.559
_cell_length_c 4.559
_cell_angle_alpha 90.00
_cell_angle_beta 90.00
_cell_angle_gamma 90.00
loop_
_symmetry_equiv_pos_as_xyz
'x,y,z'
loop_
_atom_site_label
_atom_site_fract_x
_atom_site_fract_y
_atom_site_fract_z
Ca1 0.000 0.000 0.000
Ta1 0.500 0.500 0.500
Ir1 0.000 0.000 0.500
Ir2 0.000 0.500 0.000
Ir3 0.500 0.000 0.000

# NiMoBr2 SCAN single point on PBEsol structure
# * crystal system: orthorhombic
# * VASP energy: -21.584 eV per atom
# * energy relative to the lowest polymorph listed for this composition: 273 meV per atom
# * symmetry: No. 47
data_NiMoBr2
_symmetry_space_group_name_H-M 'P 1'
_symmetry_Int_Tables_number 1
_cell_length_a 3.047
_cell_length_b 4.041
_cell_length_c 5.632
_cell_angle_alpha 90.00
_cell_angle_beta 90.00
_cell_angle_gamma 90.00
loop_
_symmetry_equiv_pos_as_xyz
'x,y,z'
loop_
_atom_site_label
_atom_site_fract_x
_atom_site_fract_y
_atom_site_fract_z
Ni1 0.000 0.000 0.000
Mo1 0.500 0.000 0.500
Br1 0.000 0.500 0.500
Br2 0.500 0.500 0.000

# MgTiCrP3O12 SCAN single point on PBEsol structure
# * crystal system: trigonal
# * VASP energy: -10.834 eV per atom
# * symmetry: No. 161
data_MgTiCrP3O12
_symmetry_space_group_name_H-M 'P 1'
_symmetry_Int_Tables_number 1
_cell_length_a 8.407
_cell_length_b 8.407
_cell_length_c 8.407
_cell_angle_alpha 60.80
_cell_angle_beta 60.80
_cell_angle_gamma 60.80
loop_
_symmetry_equiv_pos_as_xyz
'x,y,z'
loop_
_atom_site_label
_atom_site_fract_x
_atom_site_fract_y
_atom_site_fract_z
Mg1 0.000 0.000 0.000
Mg2 0.500 0.500 0.500
Ti1 0.145 0.145 0.145
Ti2 0.645 0.645 0.645
Cr1 0.361 0.361 0.361
Cr2 0.861 0.861 0.861
P1 0.046 0.460 0.752
P2 0.252 0.960 0.546
P3 0.460 0.752 0.046
P4 0.546 0.252 0.960
P5 0.752 0.046 0.460
P6 0.960 0.546 0.252
O1 0.004 0.617 0.820
O2 0.005 0.383 0.183
O3 0.055 0.260 0.913
O4 0.091 0.942 0.745
O5 0.117 0.504 0.320
O6 0.183 0.005 0.383
O7 0.245 0.442 0.591
O8 0.260 0.913 0.055
O9 0.320 0.117 0.504
O10 0.383 0.183 0.005
O11 0.413 0.760 0.555
O12 0.442 0.591 0.245
O13 0.504 0.320 0.117
O14 0.505 0.683 0.883
O15 0.555 0.413 0.760
O16 0.591 0.245 0.442
O17 0.617 0.820 0.004
O18 0.683 0.883 0.505
O19 0.745 0.091 0.942
O20 0.760 0.555 0.413
O21 0.820 0.004 0.617
O22 0.883 0.505 0.683
O23 0.913 0.055 0.260
O24 0.942 0.745 0.091

# LiTiMo2N SCAN single point on PBEsol structure
# * crystal system: tetragonal
# * VASP energy: -17.011 eV per atom
# * symmetry: No. 123
data_LiTiMo2N
_symmetry_space_group_name_H-M 'P 1'
_symmetry_Int_Tables_number 1
_cell_length_a 4.377
_cell_length_b 4.377
_cell_length_c 4.403
_cell_angle_alpha 90.00
_cell_angle_beta 90.00
_cell_angle_gamma 90.00
loop_
_symmetry_equiv_pos_as_xyz
'x,y,z'
loop_
_atom_site_label
_atom_site_fract_x
_atom_site_fract_y
_atom_site_fract_z
Li1 0.000 0.000 0.000
Ti1 0.000 0.000 0.500
Mo1 0.000 0.500 0.500
Mo2 0.500 0.000 0.500
N1 0.500 0.500 0.000

# In3Ir SCAN single point on PBEsol structure
# * crystal system: orthorhombic
# * VASP energy: -43.055 eV per atom
# * formation enthalpy at 0 K: -241 meV/atom
# * symmetry: No. 62
data_In3Ir
_symmetry_space_group_name_H-M 'P 1'
_symmetry_Int_Tables_number 1
_cell_length_a 7.438
_cell_length_b 8.290
_cell_length_c 5.300
_cell_angle_alpha 90.00
_cell_angle_beta 90.00
_cell_angle_gamma 90.00
loop_
_symmetry_equiv_pos_as_xyz
'x,y,z'
loop_
_atom_site_label
_atom_site_fract_x
_atom_site_fract_y
_atom_site_fract_z
In1 0.011 0.250 0.084
In2 0.171 0.054 0.634
In3 0.171 0.446 0.634
In4 0.329 0.554 0.134
In5 0.329 0.946 0.134
In6 0.489 0.750 0.584
In7 0.511 0.250 0.416
In8 0.671 0.054 0.866
In9 0.671 0.446 0.866
In10 0.829 0.554 0.366
In11 0.829 0.946 0.366
In12 0.989 0.750 0.916
Ir1 0.126 0.750 0.436
Ir2 0.374 0.250 0.936
Ir3 0.626 0.750 0.064
Ir4 0.874 0.250 0.564

# Sr2VFeAsO3 SCAN single point on PBEsol structure
# * crystal system: tetragonal
# * VASP energy: -17.073 eV per atom
# * symmetry: No. 129
data_Sr2VFeAsO3
_symmetry_space_group_name_H-M 'P 1'
_symmetry_Int_Tables_number 1
_cell_length_a 3.870
_cell_length_b 3.870
_cell_length_c 15.244
_cell_angle_alpha 90.00
_cell_angle_beta 90.00
_cell_angle_gamma 90.00
loop_
_symmetry_equiv_pos_as_xyz
'x,y,z'
loop_
_atom_site_label
_atom_site_fract_x
_atom_site_fract_y
_atom_site_fract_z
Sr1 0.250 0.250 0.087
Sr2 0.250 0.250 0.319
Sr3 0.750 0.750 0.681
Sr4 0.750 0.750 0.913
V1 0.250 0.250 0.801
V2 0.750 0.750 0.199
Fe1 0.250 0.750 0.500
Fe2 0.750 0.250 0.500
As1 0.250 0.250 0.581
As2 0.750 0.750 0.419
O1 0.250 0.250 0.927
O2 0.250 0.750 0.209
O3 0.250 0.750 0.791
O4 0.750 0.250 0.209
O5 0.750 0.250 0.791
O6 0.750 0.750 0.073

# CeTlP2Se6 SCAN single point on PBEsol structure
# * crystal system: monoclinic
# * VASP energy: -26.570 eV per atom
# * symmetry: No. 14
data_CeTlP2Se6
_symmetry_space_group_name_H-M 'P 1'
_symmetry_Int_Tables_number 1
_cell_length_a 12.132
_cell_length_b 7.722
_cell_length_c 11.631
_cell_angle_alpha 90.00
_cell_angle_beta 109.41
_cell_angle_gamma 90.00
loop_
_symmetry_equiv_pos_as_xyz
'x,y,z'
loop_
_atom_site_label
_atom_site_fract_x
_atom_site_fract_y
_atom_site_fract_z
Ce1 0.151 0.105 0.405
Ce2 0.151 0.395 0.905
Ce3 0.849 0.605 0.095
Ce4 0.849 0.895 0.595
Tl1 0.372 0.593 0.629
Tl2 0.372 0.907 0.129
Tl3 0.628 0.093 0.871
Tl4 0.628 0.407 0.371
P1 0.176 0.597 0.246
P2 0.176 0.903 0.746
P3 0.294 0.118 0.734
P4 0.294 0.382 0.234
P5 0.706 0.618 0.766
P6 0.706 0.882 0.266
P7 0.824 0.097 0.254
P8 0.824 0.403 0.754
Se1 0.047 0.034 0.817
Se2 0.047 0.466 0.317
Se3 0.089 0.694 0.060
Se4 0.089 0.806 0.560
Se5 0.172 0.182 0.135
Se6 0.172 0.318 0.635
Se7 0.289 0.709 0.867
Se8 0.289 0.791 0.367
Se9 0.377 0.213 0.922
Se10 0.377 0.287 0.422
Se11 0.394 0.015 0.624
Se12 0.394 0.485 0.124
Se13 0.606 0.515 0.876
Se14 0.606 0.985 0.376
Se15 0.623 0.713 0.578
Se16 0.623 0.787 0.078
Se17 0.711 0.209 0.633
Se18 0.711 0.291 0.133
Se19 0.828 0.682 0.365
Se20 0.828 0.818 0.865
Se21 0.911 0.194 0.440
Se22 0.911 0.306 0.940
Se23 0.953 0.534 0.683
Se24 0.953 0.966 0.183

# Rb2MnCu SCAN single point on PBEsol structure
# * crystal system: cubic
# * VASP energy: -17.918 eV per atom
# * formation enthalpy at 0 K: 815 meV/atom
# * symmetry: No. 225
data_Rb2MnCu
_symmetry_space_group_name_H-M 'P 1'
_symmetry_Int_Tables_number 1
_cell_length_a 5.858
_cell_length_b 5.858
_cell_length_c 5.858
_cell_angle_alpha 60.00
_cell_angle_beta 60.00
_cell_angle_gamma 60.00
loop_
_symmetry_equiv_pos_as_xyz
'x,y,z'
loop_
_atom_site_label
_atom_site_fract_x
_atom_site_fract_y
_atom_site_fract_z
Rb1 0.250 0.250 0.250
Rb2 0.750 0.750 0.750
Mn1 0.000 0.000 0.000
Cu1 0.500 0.500 0.500

# CsNa3Be SCAN single point on PBEsol structure
# * crystal system: cubic
# * VASP energy: -10.544 eV per atom
# * formation enthalpy at 0 K: 418 meV/atom
# * symmetry: No. 221
data_CsNa3Be
_symmetry_space_group_name_H-M 'P 1'
_symmetry_Int_Tables_number 1
_cell_length_a 5.782
_cell_length_b 5.782
_cell_length_c 5.782
_cell_angle_alpha 90.00
_cell_angle_beta 90.00
_cell_angle_gamma 90.00
loop_
_symmetry_equiv_pos_as_xyz
'x,y,z'
loop_
_atom_site_label
_atom_site_fract_x
_atom_site_fract_y
_atom_site_fract_z
Cs1 0.000 0.000 0.000
Na1 0.000 0.500 0.500
Na2 0.500 0.000 0.500
Na3 0.500 0.500 0.000
Be1 0.500 0.500 0.500

# TaAgRu2 SCAN single point on PBEsol structure
# * crystal system: tetragonal
# * VASP energy: -41.749 eV per atom
# * formation enthalpy at 0 K: 152 meV/atom
# * energy relative to the lowest polymorph listed for this composition: 18 meV per atom
# * symmetry: No. 119
data_TaAgRu2
_symmetry_space_group_name_H-M 'P 1'
_symmetry_Int_Tables_number 1
_cell_length_a 4.873
_cell_length_b 4.873
_cell_length_c 4.873
_cell_angle_alpha 133.66
_cell_angle_beta 133.66
_cell_angle_gamma 67.62
loop_
_symmetry_equiv_pos_as_xyz
'x,y,z'
loop_
_atom_site_label
_atom_site_fract_x
_atom_site_fract_y
_atom_site_fract_z
Ta1 0.000 0.000 0.000
Ag1 0.250 0.750 0.500
Ru1 0.500 0.500 0.000
Ru2 0.750 0.250 0.500